# Mg2Cd2In7 (PBE, optimized geometry)
# Fermi-level density of states: 4.7 states/eV/cell
# Raw total energy: -2.17 eV/atom
# Space-group type: C2/m (12)
# Formation energy from the elements: 0.30 eV/f.u.
data_Mg2Cd2In7
_chemical_formula_sum 'Mg2 Cd2 In7'
_cell_length_a 7.145
_cell_length_b 7.145
_cell_length_c 5.815
_cell_angle_alpha 98.60
_cell_angle_beta 98.60
_cell_angle_gamma 81.24
_space_group_name_H-M_alt 'P 1'
_space_group_IT_number 1
_space_group_name_Hall 'P 1'
loop_
_atom_site_label
_atom_site_type_symbol
_atom_site_fract_x
_atom_site_fract_y
_atom_site_fract_z
Mg1 Mg 0.189 0.811 0.000
Mg2 Mg 0.811 0.189 0.000
Cd1 Cd 0.229 0.229 0.227
Cd2 Cd 0.771 0.771 0.773
In1 In 0.000 0.000 0.500
In2 In 0.045 0.409 0.736
In3 In 0.409 0.045 0.736
In4 In 0.473 0.473 0.737
In5 In 0.527 0.527 0.263
In6 In 0.591 0.955 0.264
In7 In 0.955 0.591 0.264


# Ca2OsO4 (PBE, optimized geometry)
# Fermi-level density of states: 9.1 states/eV/cell
# Raw total energy: -6.82 eV/atom
# Space-group type: P2_1/m (11)
# Formation energy (no corrections): -1808.8 meV/atom
data_Ca2OsO4
_chemical_formula_sum 'Ca4 Os2 O8'
_cell_length_a 6.099
_cell_length_b 5.679
_cell_length_c 6.413
_cell_angle_alpha 90.00
_cell_angle_beta 108.38
_cell_angle_gamma 90.00
_space_group_name_H-M_alt 'P 1'
_space_group_IT_number 1
_space_group_name_Hall 'P 1'
loop_
_atom_site_label
_atom_site_type_symbol
_atom_site_fract_x
_atom_site_fract_y
_atom_site_fract_z
Ca1 Ca 0.168 0.250 0.034
Ca2 Ca 0.245 0.250 0.566
Ca3 Ca 0.755 0.750 0.434
Ca4 Ca 0.832 0.750 0.966
Os1 Os 0.291 0.750 0.790
Os2 Os 0.709 0.250 0.210
O1 O 0.027 0.530 0.752
O2 O 0.027 0.970 0.752
O3 O 0.487 0.750 0.079
O4 O 0.494 0.250 0.359
O5 O 0.506 0.750 0.641
O6 O 0.513 0.250 0.921
O7 O 0.973 0.030 0.248
O8 O 0.973 0.470 0.248


# HfHgBi2 (PBE, optimized geometry)
# Fermi-level density of states: 2.6 states/eV/cell
# Raw total energy: -4.55 eV/atom
# Space-group type: R-3m (166)
# Formation energy from the elements: -0.19 eV/f.u.
data_HfHgBi2
_chemical_formula_sum 'Hf3 Hg3 Bi6'
_cell_length_a 3.362
_cell_length_b 3.362
_cell_length_c 37.874
_cell_angle_alpha 90.00
_cell_angle_beta 90.00
_cell_angle_gamma 120.00
_space_group_name_H-M_alt 'P 1'
_space_group_IT_number 1
_space_group_name_Hall 'P 1'
loop_
_atom_site_label
_atom_site_type_symbol
_atom_site_fract_x
_atom_site_fract_y
_atom_site_fract_z
Hf1 Hf 0.000 0.000 0.000
Hf2 Hf 0.333 0.667 0.667
Hf3 Hf 0.667 0.333 0.333
Hg1 Hg 0.000 0.000 0.500
Hg2 Hg 0.333 0.667 0.167
Hg3 Hg 0.667 0.333 0.833
Bi1 Bi 0.000 0.000 0.400
Bi2 Bi 0.000 0.000 0.600
Bi3 Bi 0.333 0.667 0.067
Bi4 Bi 0.333 0.667 0.266
Bi5 Bi 0.667 0.333 0.734
Bi6 Bi 0.667 0.333 0.933


# Y3CoNi (PBE, optimized geometry)
# Fermi-level density of states: 10.8 states/eV/cell
# Raw total energy: -6.67 eV/atom
# Space-group type: Pmmn (59)
# Formation energy from the elements: -1.07 eV/f.u.
data_Y3CoNi
_chemical_formula_sum 'Y6 Co2 Ni2'
_cell_length_a 3.878
_cell_length_b 9.364
_cell_length_c 6.224
_cell_angle_alpha 90.00
_cell_angle_beta 90.00
_cell_angle_gamma 90.00
_space_group_name_H-M_alt 'P 1'
_space_group_IT_number 1
_space_group_name_Hall 'P 1'
loop_
_atom_site_label
_atom_site_type_symbol
_atom_site_fract_x
_atom_site_fract_y
_atom_site_fract_z
Y1 Y 0.250 0.059 0.243
Y2 Y 0.250 0.250 0.753
Y3 Y 0.250 0.441 0.243
Y4 Y 0.750 0.559 0.757
Y5 Y 0.750 0.750 0.247
Y6 Y 0.750 0.941 0.757
Co1 Co 0.250 0.750 0.940
Co2 Co 0.750 0.250 0.060
Ni1 Ni 0.250 0.750 0.561
Ni2 Ni 0.750 0.250 0.439


# FeIrBr2 (PBE, optimized geometry)
# Fermi-level density of states: 3.4 states/eV/cell
# Raw total energy: -4.33 eV/atom
# Space-group type: Pmmm (47)
# Formation energy (no corrections): 840.0 meV/atom
data_FeIrBr2
_chemical_formula_sum 'Fe1 Ir1 Br2'
_cell_length_a 3.114
_cell_length_b 4.204
_cell_length_c 5.967
_cell_angle_alpha 90.00
_cell_angle_beta 90.00
_cell_angle_gamma 90.00
_space_group_name_H-M_alt 'P 1'
_space_group_IT_number 1
_space_group_name_Hall 'P 1'
loop_
_atom_site_label
_atom_site_type_symbol
_atom_site_fract_x
_atom_site_fract_y
_atom_site_fract_z
Fe1 Fe 0.000 0.000 0.000
Ir1 Ir 0.500 0.000 0.500
Br1 Br 0.000 0.500 0.500
Br2 Br 0.500 0.500 0.000


# BaPdS2Cl (PBE, optimized geometry)
# Fermi-level density of states: 10.6 states/eV/cell
# Raw total energy: -3.17 eV/atom
# Space-group type: P4/mmm (123)
# Formation energy (no corrections): 278.1 meV/atom
data_BaPdS2Cl
_chemical_formula_sum 'Ba1 Pd1 S2 Cl1'
_cell_length_a 6.118
_cell_length_b 6.118
_cell_length_c 5.859
_cell_angle_alpha 90.00
_cell_angle_beta 90.00
_cell_angle_gamma 90.00
_space_group_name_H-M_alt 'P 1'
_space_group_IT_number 1
_space_group_name_Hall 'P 1'
loop_
_atom_site_label
_atom_site_type_symbol
_atom_site_fract_x
_atom_site_fract_y
_atom_site_fract_z
Ba1 Ba 0.000 0.000 0.000
Pd1 Pd 0.500 0.500 0.500
S1 S 0.000 0.500 0.000
S2 S 0.500 0.000 0.000
Cl1 Cl 0.000 0.000 0.500